VASP calculation (meta-GGA SCAN) on HfIn3Mo at its PBEsol-relaxed geometry.

Cell: 5.0876 5.0876 5.0876 Å, 90.00 90.00 90.00°
Last column: nearest neighbours and their distance in Å.
Fractional positions:
In1 0.0000 0.5000 0.0000  2 Mo 2.54
In2 0.0000 0.0000 0.5000  2 Mo 2.54
In3 0.5000 0.0000 0.0000  2 Mo 2.54
Mo1 0.0000 0.0000 0.0000  6 In 2.54
Hf1 0.5000 0.5000 0.5000  12 In 3.60

The density of states at the Fermi level is 3.23 states/eV per cell. For the energy of formation, the calculation gives 0.9901 eV per atom.